BaCoSeO: relaxed, PBE with a Hubbard U.

Values from the calculation:
Total magnetic moment (μB/cell): 12.0
Uncorrected energy (eV/atom): -5.284

a b c (Å): 7.066 7.088 7.153
angles (deg): 90.00 90.00 90.00
Element x y z (fractional)
Ba: 0.126 0.130 0.126
Se: 0.136 0.635 0.360
O: 0.431 0.933 0.071
Ba: 0.626 0.870 0.374
Co: 0.918 0.583 0.076
Co: 0.082 0.917 0.576
Co: 0.418 0.417 0.424
O: 0.931 0.067 0.429
Se: 0.864 0.865 0.860
O: 0.569 0.567 0.571
Ba: 0.874 0.370 0.626
Ba: 0.374 0.630 0.874
Se: 0.636 0.365 0.140
Co: 0.582 0.083 0.924
Se: 0.364 0.135 0.640
O: 0.069 0.433 0.929